# PBE RbCuCl4, relaxed
# Formation energy without anion corrections, eV/f.u.: -5.6
data_RbCuCl4
_cell_length_a 7.134
_cell_length_b 5.946
_cell_length_c 10.046
_cell_angle_alpha 90.00
_cell_angle_beta 121.30
_cell_angle_gamma 90.00
_space_group_name_H-M_alt 'P 1 21/c 1'
_space_group_IT_number 14
_space_group_name_Hall '-P 2ybc'
loop_
_atom_site_label
_atom_site_fract_x
_atom_site_fract_y
_atom_site_fract_z
_atom_site_occupancy
Rb1 0.000 0.000 0.000 1
Cu1 0.500 0.000 0.500 1
Cl1 0.145 0.010 0.390 1
Cl2 0.468 0.735 0.339 1